(1)
InCoSe | PBEsol | relaxed

- total magnetic moment (μB per cell) = 0.003
- space-group type = F-43m (216)
- theoretical density (g cm⁻³) = 7.91
- formation energy without anion corrections (eV per formula unit) = 0.1

```
12
Lattice="5.9653 0.0000 0.0000 0.0000 5.9653 0.0000 0.0000 0.0000 5.9653" Properties=species:S:1:pos:R:3 pbc="T T T"
In 0.0000 0.0000 0.0000
In 0.0000 2.9826 2.9826
In 2.9826 0.0000 2.9826
In 2.9826 2.9826 0.0000
Co 1.4913 1.4913 1.4913
Co 1.4913 4.4740 4.4740
Co 4.4740 1.4913 4.4740
Co 4.4740 4.4740 1.4913
Se 0.0000 0.0000 2.9826
Se 0.0000 2.9826 0.0000
Se 2.9826 0.0000 0.0000
Se 2.9826 2.9826 2.9826
```

=====

(2)
ZrMo3S | PBEsol | relaxed

- total magnetic moment (μB per cell) = 0.001
- space-group type = Pm-3m (221)
- theoretical density (g cm⁻³) = 6.56
- formation energy without anion corrections (eV per formula unit) = 11.8

```
5
Lattice="4.7045 0.0000 0.0000 0.0000 4.7045 0.0000 0.0000 0.0000 4.7045" Properties=species:S:1:pos:R:3 pbc="T T T"
Zr 0.0000 0.0000 0.0000
Mo 0.0000 0.0000 2.3523
Mo 0.0000 2.3523 0.0000
Mo 2.3523 0.0000 0.0000
S 2.3523 2.3523 2.3523
```

=====

(3)
TaFeAs2Se | PBEsol | relaxed

- total magnetic moment (μB per cell) = 2.272
- space-group type = P4/mmm (123)
- theoretical density (g cm⁻³) = 8.46
- formation energy without anion corrections (eV per formula unit) = 3.7

```
5
Lattice="4.3493 0.0000 0.0000 0.0000 4.3493 0.0000 0.0000 0.0000 4.8331" Properties=species:S:1:pos:R:3 pbc="T T T"
Ta 0.0000 0.0000 0.0000
Fe 2.1746 2.1746 2.4165
As 0.0000 2.1746 2.4165
As 2.1746 0.0000 2.4165
Se 2.1746 2.1746 0.0000
```

=====

(4)
Sc3Al2 | PBEsol | relaxed

- total magnetic moment (μB per cell) = 0.001
- space-group type = P-3m1 (164)
- energy relative to the elements (meV per atom) = -148
- theoretical density (g cm⁻³) = 2.88

```
5
Lattice="4.6455 0.0000 0.0000 -2.3227 4.0231 0.0000 0.0000 0.0000 5.8278" Properties=species:S:1:pos:R:3 pbc="T T T"
Sc 0.0000 0.0000 0.0000
Sc 0.0000 2.6821 2.0669
Sc 2.3227 1.3410 3.7608
Al 0.0000 2.6821 4.9351
Al 2.3227 1.3410 0.8927
```

=====

(5)
LaRu2 | PBEsol | relaxed

- total magnetic moment (μB per cell) = 0.001
- space-group type = Immm (71)
- energy relative to the elements (meV per atom) = 200
- theoretical density (g cm⁻³) = 9.97

```
6
Lattice="2.9008 0.0000 0.0000 0.0000 3.8048 0.0000 0.0000 0.0000 10.2980" Properties=species:S:1:pos:R:3 pbc="T T T"
La 0.0000 0.0000 0.0000
La 1.4504 1.9024 5.1490
Ru 0.0000 0.0000 3.0022
Ru 0.0000 0.0000 7.2958
Ru 1.4504 1.9024 2.1468
Ru 1.4504 1.9024 8.1512
```

=====

(6)
NaZrPO2 | PBEsol | relaxed

- total magnetic moment (μB per cell) = 0.001
- space-group type = P4/mmm (123)
- theoretical density (g cm⁻³) = 4.30
- formation energy without anion corrections (eV per formula unit) = -0.1

```
5
Lattice="3.9575 0.0000 0.0000 0.0000 3.9575 0.0000 0.0000 0.0000 4.3719" Properties=species:S:1:pos:R:3 pbc="T T T"
Na 0.0000 0.0000 0.0000
Zr 1.9787 1.9787 2.1859
P 0.0000 0.0000 2.1859
O 0.0000 1.9787 0.0000
O 1.9787 0.0000 0.0000
```

=====

(7)
TeOsRh | PBEsol | relaxed

- total magnetic moment (μB per cell) = 0.011
- polymorph energy (0 for the lowest one) (meV/atom) = 304
- space-group type = Fmm2 (42)
- theoretical density (g cm⁻³) = 13.77
- formation energy without anion corrections (eV per formula unit) = 2.7

```
12
Lattice="2.9305 0.0000 0.0000 0.0000 4.9838 0.0000 0.0000 0.0000 13.8914" Properties=species:S:1:pos:R:3 pbc="T T T"
Te 0.0000 0.0000 0.0000
Te 0.0000 2.4919 6.9457
Te 1.4653 0.0000 6.9457
Te 1.4653 2.4919 0.0000
Os 0.0000 0.0000 9.3543
Os 0.0000 2.4919 2.4086
Os 1.4653 0.0000 2.4086
Os 1.4653 2.4919 9.3543
Rh 0.0000 0.0000 4.5278
Rh 0.0000 2.4919 11.4735
Rh 1.4653 0.0000 11.4735
Rh 1.4653 2.4919 4.5278
```

=====

(8)
MgPbBr2 | PBEsol | relaxed

- total magnetic moment (μB per cell) = 0.000
- polymorph energy (0 for the lowest one) (meV/atom) = 210
- space-group type = P4/mmm (123)
- theoretical density (g cm⁻³) = 6.11
- formation energy without anion corrections (eV per formula unit) = -1.6

```
4
Lattice="5.0074 0.0000 0.0000 0.0000 5.0074 0.0000 0.0000 0.0000 4.2414" Properties=species:S:1:pos:R:3 pbc="T T T"
Mg 0.0000 0.0000 0.0000
Pb 2.5037 2.5037 0.0000
Br 0.0000 2.5037 2.1207
Br 2.5037 0.0000 2.1207
```

=====

Which formula does entry 5 have?
LaRu2

=====

Which value of total magnetic moment does entry 3 give?
2.272 μB per cell

=====

What is the formula in the first record?
InCoSe

=====

The highest theoretical density belongs to which entry?
TeOsRh